Entry 1:
# Na2Tl4Sn (PBE, relaxed)
data_Na2Tl4Sn
_chemical_formula_sum 'Na2 Tl4 Sn1'
_cell_length_a 5.8203
_cell_length_b 5.8203
_cell_length_c 9.0439
_cell_angle_alpha 71.23
_cell_angle_beta 71.23
_cell_angle_gamma 90.00
_symmetry_space_group_name_H-M 'P 1'
_symmetry_Int_Tables_number 1
_symmetry_space_group_name_Hall 'P 1'
loop_
_atom_site_label
_atom_site_type_symbol
_atom_site_fract_x
_atom_site_fract_y
_atom_site_fract_z
_atom_site_occupancy
Na1 Na 0.3848 0.3848 0.2304 1
Tl1 Tl 0.5000 0.0000 0.0000 1
Na2 Na 0.6152 0.6152 0.7696 1
Tl2 Tl 0.8103 0.8103 0.3793 1
Tl3 Tl 0.1897 0.1897 0.6207 1
Sn1 Sn 0.0000 0.0000 0.0000 1
Tl4 Tl 0.0000 0.5000 0.0000 1
# * DFT formation energy: 1.0 eV per formula unit
# * magnetization: 0.0 Bohr magnetons per cell
# * E above lowest polymorph: 0.188 eV per atom

Entry 2:
# NaTl3Sn6 (PBE, relaxed)
data_NaTl3Sn6
_chemical_formula_sum 'Na2 Tl6 Sn12'
_cell_length_a 8.5314
_cell_length_b 8.5314
_cell_length_c 8.5314
_cell_angle_alpha 84.93
_cell_angle_beta 84.93
_cell_angle_gamma 84.93
_symmetry_space_group_name_H-M 'P 1'
_symmetry_Int_Tables_number 1
_symmetry_space_group_name_Hall 'P 1'
loop_
_atom_site_label
_atom_site_type_symbol
_atom_site_fract_x
_atom_site_fract_y
_atom_site_fract_z
_atom_site_occupancy
Sn1 Sn 0.0780 0.0740 0.3490 1
Sn2 Sn 0.9220 0.9260 0.6510 1
Tl1 Tl 0.7992 0.7944 0.3302 1
Tl2 Tl 0.6698 0.2008 0.2056 1
Sn3 Sn 0.6510 0.9220 0.9260 1
Sn4 Sn 0.3490 0.0780 0.0740 1
Tl3 Tl 0.2008 0.2056 0.6698 1
Na1 Na 0.5000 0.5000 0.5000 1
Na2 Na 0.0000 0.0000 0.0000 1
Sn5 Sn 0.4031 0.4088 0.9002 1
Tl4 Tl 0.2056 0.6698 0.2008 1
Tl5 Tl 0.3302 0.7992 0.7944 1
Sn6 Sn 0.4088 0.9002 0.4031 1
Sn7 Sn 0.9002 0.4031 0.4088 1
Sn8 Sn 0.9260 0.6510 0.9220 1
Tl6 Tl 0.7944 0.3302 0.7992 1
Sn9 Sn 0.0740 0.3490 0.0780 1
Sn10 Sn 0.5969 0.5912 0.0998 1
Sn11 Sn 0.5912 0.0998 0.5969 1
Sn12 Sn 0.0998 0.5969 0.5912 1
# * DFT formation energy: 0.4 eV per formula unit
# * magnetization: 0.0 Bohr magnetons per cell

Entry 3:
# Na5TlSn (PBE, relaxed)
data_Na5TlSn
_chemical_formula_sum 'Na10 Tl2 Sn2'
_cell_length_a 5.8252
_cell_length_b 5.8252
_cell_length_c 12.9620
_cell_angle_alpha 90.02
_cell_angle_beta 89.98
_cell_angle_gamma 79.10
_symmetry_space_group_name_H-M 'P 1'
_symmetry_Int_Tables_number 1
_symmetry_space_group_name_Hall 'P 1'
loop_
_atom_site_label
_atom_site_type_symbol
_atom_site_fract_x
_atom_site_fract_y
_atom_site_fract_z
_atom_site_occupancy
Tl1 Tl 0.3588 0.6412 0.7502 1
Na1 Na 0.8588 0.5483 0.8926 1
Na2 Na 0.0599 0.9401 0.2500 1
Tl2 Tl 0.6412 0.3588 0.2498 1
Na3 Na 0.4517 0.1412 0.8926 1
Na4 Na 0.5484 0.8587 0.3926 1
Na5 Na 0.5483 0.8588 0.1074 1
Sn1 Sn 0.0000 0.0000 0.0000 1
Na6 Na 0.1412 0.4517 0.1074 1
Sn2 Sn 0.0000 0.0000 0.5000 1
Na7 Na 0.4516 0.1413 0.6074 1
Na8 Na 0.8587 0.5484 0.6075 1
Na9 Na 0.9401 0.0599 0.7500 1
Na10 Na 0.1413 0.4516 0.3925 1
# * DFT formation energy: -0.5 eV per formula unit
# * magnetization: 0.0 Bohr magnetons per cell
# * E above lowest polymorph: 0.000 eV per atom

Entry 4:
# Na2Tl9Sn (PBE, relaxed)
data_Na2Tl9Sn
_chemical_formula_sum 'Na2 Tl9 Sn1'
_cell_length_a 7.6608
_cell_length_b 9.2506
_cell_length_c 15.3200
_cell_angle_alpha 24.67
_cell_angle_beta 55.65
_cell_angle_gamma 64.86
_symmetry_space_group_name_H-M 'P 1'
_symmetry_Int_Tables_number 1
_symmetry_space_group_name_Hall 'P 1'
loop_
_atom_site_label
_atom_site_type_symbol
_atom_site_fract_x
_atom_site_fract_y
_atom_site_fract_z
_atom_site_occupancy
Tl1 Tl 0.3263 0.6469 0.6777 1
Tl2 Tl 0.6737 0.3531 0.3223 1
Tl3 Tl 0.9171 0.0832 0.5851 1
Tl4 Tl 0.7547 0.2498 0.7513 1
Tl5 Tl 0.5000 0.5000 0.5000 1
Sn1 Sn 0.0000 0.0000 0.0000 1
Tl6 Tl 0.5890 0.4085 0.9184 1
Na1 Na 0.8218 0.1477 0.1773 1
Tl7 Tl 0.4110 0.5915 0.0816 1
Na2 Na 0.1782 0.8523 0.8227 1
Tl8 Tl 0.2453 0.7502 0.2487 1
Tl9 Tl 0.0829 0.9168 0.4149 1
# * DFT formation energy: -0.5 eV per formula unit
# * magnetization: 0.0 Bohr magnetons per cell

Entry 5:
# Na12Tl7Sn (PBE, relaxed)
data_Na12Tl7Sn
_chemical_formula_sum 'Na12 Tl7 Sn1'
_cell_length_a 9.1444
_cell_length_b 9.1444
_cell_length_c 9.1444
_cell_angle_alpha 107.74
_cell_angle_beta 107.74
_cell_angle_gamma 107.74
_symmetry_space_group_name_H-M 'P 1'
_symmetry_Int_Tables_number 1
_symmetry_space_group_name_Hall 'P 1'
loop_
_atom_site_label
_atom_site_type_symbol
_atom_site_fract_x
_atom_site_fract_y
_atom_site_fract_z
_atom_site_occupancy
Na1 Na 0.5334 0.3582 0.8127 1
Na2 Na 0.6418 0.1873 0.4666 1
Na3 Na 0.1361 0.9895 0.6860 1
Na4 Na 0.8639 0.0105 0.3140 1
Sn1 Sn 0.0000 0.0000 0.0000 1
Tl1 Tl 0.1018 0.3882 0.2526 1
Na5 Na 0.0105 0.3140 0.8639 1
Na6 Na 0.8127 0.5334 0.3582 1
Tl2 Tl 0.3882 0.2526 0.1018 1
Tl3 Tl 0.6118 0.7474 0.8982 1
Tl4 Tl 0.2526 0.1018 0.3882 1
Tl5 Tl 0.7474 0.8982 0.6118 1
Na7 Na 0.4666 0.6418 0.1873 1
Na8 Na 0.1873 0.4666 0.6418 1
Na9 Na 0.9895 0.6860 0.1361 1
Na10 Na 0.3140 0.8639 0.0105 1
Tl6 Tl 0.8982 0.6118 0.7474 1
Na11 Na 0.3582 0.8127 0.5334 1
Na12 Na 0.6860 0.1361 0.9895 1
Tl7 Tl 0.5000 0.5000 0.5000 1
# * DFT formation energy: -1.7 eV per formula unit
# * magnetization: 0.0 Bohr magnetons per cell

Entry 6:
# Na4Tl2Sn (PBE, relaxed)
data_Na4Tl2Sn
_chemical_formula_sum 'Na4 Tl2 Sn1'
_cell_length_a 5.3768
_cell_length_b 5.3768
_cell_length_c 9.0117
_cell_angle_alpha 72.64
_cell_angle_beta 72.64
_cell_angle_gamma 60.00
_symmetry_space_group_name_H-M 'P 1'
_symmetry_Int_Tables_number 1
_symmetry_space_group_name_Hall 'P 1'
loop_
_atom_site_label
_atom_site_type_symbol
_atom_site_fract_x
_atom_site_fract_y
_atom_site_fract_z
_atom_site_occupancy
Na1 Na 0.3870 0.3870 0.8389 1
Tl1 Tl 0.7398 0.7398 0.7806 1
Tl2 Tl 0.2602 0.2602 0.2194 1
Na2 Na 0.8699 0.8699 0.3902 1
Sn1 Sn 0.0000 0.0000 0.0000 1
Na3 Na 0.6130 0.6130 0.1611 1
Na4 Na 0.1301 0.1301 0.6098 1
# * DFT formation energy: -0.6 eV per formula unit
# * magnetization: 0.0 Bohr magnetons per cell
# * E above lowest polymorph: 0.000 eV per atom

Entry 7:
# Na3TlSn (PBE, relaxed)
data_Na3TlSn
_chemical_formula_sum 'Na3 Tl1 Sn1'
_cell_length_a 5.8791
_cell_length_b 5.8791
_cell_length_c 5.8791
_cell_angle_alpha 90.00
_cell_angle_beta 90.00
_cell_angle_gamma 90.00
_symmetry_space_group_name_H-M 'P 1'
_symmetry_Int_Tables_number 1
_symmetry_space_group_name_Hall 'P 1'
loop_
_atom_site_label
_atom_site_type_symbol
_atom_site_fract_x
_atom_site_fract_y
_atom_site_fract_z
_atom_site_occupancy
Na1 Na 0.5000 0.0000 0.0000 1
Na2 Na 0.0000 0.5000 0.0000 1
Sn1 Sn 0.0000 0.0000 0.0000 1
Tl1 Tl 0.5000 0.5000 0.5000 1
Na3 Na 0.0000 0.0000 0.5000 1
# * DFT formation energy: 0.6 eV per formula unit
# * magnetization: 0.0 Bohr magnetons per cell
# * E above lowest polymorph: 0.263 eV per atom

Entry 8:
# Na2TlSn2 (PBE, relaxed)
data_Na2TlSn2
_chemical_formula_sum 'Na4 Tl2 Sn4'
_cell_length_a 9.2029
_cell_length_b 9.2029
_cell_length_c 3.3831
_cell_angle_alpha 90.00
_cell_angle_beta 90.00
_cell_angle_gamma 90.00
_symmetry_space_group_name_H-M 'P 1'
_symmetry_Int_Tables_number 1
_symmetry_space_group_name_Hall 'P 1'
loop_
_atom_site_label
_atom_site_type_symbol
_atom_site_fract_x
_atom_site_fract_y
_atom_site_fract_z
_atom_site_occupancy
Na1 Na 0.6862 0.8138 0.5000 1
Sn1 Sn 0.8886 0.6114 0.0000 1
Na2 Na 0.8138 0.3138 0.5000 1
Na3 Na 0.1862 0.6862 0.5000 1
Tl1 Tl 0.5000 0.5000 0.0000 1
Sn2 Sn 0.3886 0.8886 0.0000 1
Sn3 Sn 0.6114 0.1114 0.0000 1
Tl2 Tl 0.0000 0.0000 0.0000 1
Na4 Na 0.3138 0.1862 0.5000 1
Sn4 Sn 0.1114 0.3886 0.0000 1
# * DFT formation energy: -0.5 eV per formula unit
# * magnetization: 0.0 Bohr magnetons per cell
# * E above lowest polymorph: 0.029 eV per atom

no.,DOS(E_F) (states/eV per cell)
1,4.2
2,8.3
3,4.9
4,5.4
5,9.2
6,2.0
7,2.5
8,3.7